# SrIn3Pt | the Alexandria database | PBE-GGA | optimized geometry
data_SrIn3Pt
_chemical_formula_sum 'Sr1 In3 Pt1'
_space_group_name_H-M_alt 'P m -3 m'
_space_group_IT_number 221
_space_group_name_Hall '-P 4 2 3'
_cell_length_a 5.260
_cell_length_b 5.260
_cell_length_c 5.260
_cell_angle_alpha 90.00
_cell_angle_beta 90.00
_cell_angle_gamma 90.00
loop_
_atom_site_label
_atom_site_type_symbol
_atom_site_fract_x
_atom_site_fract_y
_atom_site_fract_z
Sr1 Sr 0.000 0.000 0.000
In1 In 0.000 0.500 0.500
Pt1 Pt 0.500 0.500 0.500
# **Crystal system**: cubic
# **Density**: 7.2 g/cm3
# **Electronic total energy**: -17.48 eV/cell
# **DOS at the Fermi energy**: 4.173 states/eV per cell
# **Total magnetic moment**: 0.000 Bohr magnetons per cell

# Sr2InPt2 | the Alexandria database | PBE-GGA | optimized geometry
data_Sr2InPt2
_chemical_formula_sum 'Sr4 In2 Pt4'
_space_group_name_H-M_alt 'I 4/m m m'
_space_group_IT_number 139
_space_group_name_Hall '-I 4 2'
_cell_length_a 5.975
_cell_length_b 5.975
_cell_length_c 7.996
_cell_angle_alpha 90.00
_cell_angle_beta 90.00
_cell_angle_gamma 90.00
loop_
_atom_site_label
_atom_site_type_symbol
_atom_site_fract_x
_atom_site_fract_y
_atom_site_fract_z
Sr1 Sr 0.000 0.500 0.250
In1 In 0.000 0.000 0.000
Pt1 Pt 0.000 0.000 0.335
# **Crystal system**: tetragonal
# **Density**: 7.9 g/cm3
# **Electronic total energy**: -42.56 eV/cell
# **DOS at the Fermi energy**: 4.654 states/eV per cell
# **Total magnetic moment**: 0.000 Bohr magnetons per cell

# SrIn2Pt9 | the Alexandria database | PBE-GGA | optimized geometry
data_SrIn2Pt9
_chemical_formula_sum 'Sr3 In6 Pt27'
_space_group_name_H-M_alt 'R -3 m'
_space_group_IT_number 166
_space_group_name_Hall '-R 3 2"'
_cell_length_a 5.4864
_cell_length_b 5.4864
_cell_length_c 25.8949
_cell_angle_alpha 90.00
_cell_angle_beta 90.00
_cell_angle_gamma 120.00
loop_
_atom_site_label
_atom_site_type_symbol
_atom_site_fract_x
_atom_site_fract_y
_atom_site_fract_z
Sr1 Sr 0.0000 0.0000 0.0000
In1 In 0.0000 0.0000 0.1411
Pt1 Pt 0.0000 0.0000 0.3332
Pt2 Pt 0.0000 0.0000 0.5000
Pt3 Pt 0.0051 0.5026 0.9144
# **Crystal system**: trigonal
# **Density**: 15.3 g/cm3
# **Electronic total energy**: -198.68 eV/cell
# **DOS at the Fermi energy**: 36.157 states/eV per cell
# **Total magnetic moment**: 0.000 Bohr magnetons per cell